A plane-wave DFT calculation with GGA-PBE was carried out for Pm2DyPt9 after structural relaxation.

a b c (Å): 5.4371 5.4371 26.7631
angles (deg): 90.00 90.00 120.00
With the nearest neighbours (Å) after each atom.
Space group R-3m (No. 166, hexagonal axes)
One atom of each set of equivalent atoms:
Pm 0.0000 0.0000 0.1387 (multiplicity 6)  12 Pt 3.08-3.34
Dy 0.0000 0.0000 0.0000 (multiplicity 3)  6 Pt 3.14
Pt 0.0000 0.0000 0.3331 (multiplicity 6)  6 Pt 2.73-2.76
Pt 0.0000 0.0000 0.5000 (multiplicity 3)  6 Pt 2.72
Pt 0.0038 0.5019 0.9157 (multiplicity 18)  7 Pt 2.69-2.76

Properties
Crystal system   trigonal
E_form   -0.92 eV/atom

A plane-wave DFT calculation with GGA-PBE was carried out for Pm3DyPt8 after structural relaxation.

a b c (Å): 5.4827 5.4827 26.8755
angles (deg): 90.00 90.00 120.00
With the nearest neighbours (Å) after each atom.
Space group R3m (No. 160, hexagonal axes)
One atom of each set of equivalent atoms:
Pm 0.0000 0.0000 0.0000 (multiplicity 3)  12 Pt 3.21-3.23, 4 Pm 3.36-3.37
Pm 0.0000 0.0000 0.1256 (multiplicity 3)  12 Pt 3.19-3.22, 3 Dy 3.35, 1 Pm 3.37
Pm 0.0000 0.0000 0.6243 (multiplicity 3)  12 Pt 3.21-3.25, 1 Dy 3.35, 3 Pm 3.36
Dy 0.0000 0.0000 0.4996 (multiplicity 3)  12 Pt 3.19-3.21, 4 Pm 3.35
Pt 0.0000 0.0000 0.3125 (multiplicity 3)  6 Pt 2.75-2.76
Pt 0.0000 0.0000 0.8126 (multiplicity 3)  6 Pt 2.73-2.74
Pt 0.9997 0.4999 0.5619 (multiplicity 9)  6 Pt 2.73-2.76
Pt 0.0010 0.5005 0.0630 (multiplicity 9)  6 Pt 2.73-2.75

Properties
Crystal system   trigonal
E_form   -1.09 eV/atom

A plane-wave DFT calculation with GGA-PBE was carried out for Pm2DyPt after structural relaxation.

a b c (Å): 3.6648 3.6648 8.4906
angles (deg): 90.00 90.00 90.00
With the nearest neighbours (Å) after each atom.
Space group P4/mmm (No. 123)
One atom of each set of equivalent atoms:
Pm 0.0000 0.0000 0.1984 (multiplicity 2)  4 Pt 3.09, 1 Pm 3.37
Dy 0.5000 0.5000 0.5000 (multiplicity 1)  8 Pm 3.64, 4 Dy 3.66
Pt 0.5000 0.5000 0.0000 (multiplicity 1)  8 Pm 3.09

Properties
Relative energy among the computed polymorphs   169 meV/atom
Crystal system   tetragonal
E_form   -0.49 eV/atom

A plane-wave DFT calculation with GGA-PBE was carried out for PmDy2Pt after structural relaxation.

a b c (Å): 3.8343 3.8343 28.5548
angles (deg): 90.00 90.00 120.00
With the nearest neighbours (Å) after each atom.
Space group R-3m (No. 166, hexagonal axes)
One atom of each set of equivalent atoms:
Pm 0.0000 0.0000 0.0000 (multiplicity 3)  6 Dy 3.75, 6 Pm 3.83
Dy 0.0000 0.0000 0.2274 (multiplicity 6)  3 Pt 2.81
Pt 0.0000 0.0000 0.5000 (multiplicity 3)  6 Dy 2.81

Properties
Relative energy among the computed polymorphs   182 meV/atom
Crystal system   trigonal
E_form   -0.51 eV/atom

A plane-wave DFT calculation with GGA-PBE was carried out for PmDy5Pt4 after structural relaxation.

a b c (Å): 18.5448 4.2329 7.6686
angles (deg): 90.00 114.34 90.00
With the nearest neighbours (Å) after each atom.
Space group C2/m (No. 12)
One atom of each set of equivalent atoms:
Pm 0.0000 0.0000 0.0000 (multiplicity 2)  4 Pt 2.92
Dy 0.0000 0.0000 0.5000 (multiplicity 2)  4 Pt 2.80
Dy 0.1652 0.5000 0.4071 (multiplicity 4)  4 Pt 2.80-2.96
Dy 0.1652 0.5000 0.9233 (multiplicity 4)  4 Pt 2.80-2.95
Pt 0.0000 0.5000 0.2618 (multiplicity 4)  4 Dy 2.80, 2 Pm 2.92
Pt 0.2048 0.0000 0.2047 (multiplicity 4)  6 Dy 2.89-2.96

Properties
Crystal system   monoclinic
E_form   -0.98 eV/atom

A plane-wave DFT calculation with GGA-PBE was carried out for PmDy2Pt after structural relaxation.

a b c (Å): 3.5703 3.5703 8.6055
angles (deg): 90.00 90.00 90.00
With the nearest neighbours (Å) after each atom.
Space group P4/mmm (No. 123)
One atom of each set of equivalent atoms:
Pm 0.0000 0.0000 0.0000 (multiplicity 1)  4 Pm 3.57, 8 Dy 3.67
Dy 0.5000 0.5000 0.3097 (multiplicity 2)  4 Pt 3.01, 1 Dy 3.28
Pt 0.0000 0.0000 0.5000 (multiplicity 1)  8 Dy 3.01

Properties
Relative energy among the computed polymorphs   96 meV/atom
Crystal system   tetragonal
E_form   -0.60 eV/atom

A plane-wave DFT calculation with GGA-PBE was carried out for PmDyPt2 after structural relaxation.

a b c (Å): 7.0847 7.0847 7.0847
angles (deg): 90.00 90.00 90.00
With the nearest neighbours (Å) after each atom.
Space group Fm-3m (No. 225)
One atom of each set of equivalent atoms:
Pm 0.0000 0.0000 0.0000 (multiplicity 4)  8 Pt 3.07
Dy 0.0000 0.0000 0.5000 (multiplicity 4)  8 Pt 3.07
Pt 0.2500 0.2500 0.2500 (multiplicity 8)  4 Dy 3.07, 4 Pm 3.07

Properties
Relative energy among the computed polymorphs   87 meV/atom
Crystal system   cubic
E_form   -1.14 eV/atom

A plane-wave DFT calculation with GGA-PBE was carried out for Pm2Dy2Pt3 after structural relaxation.

a b c (Å): 8.8481 8.8481 8.8481
angles (deg): 90.00 90.00 90.00
With the nearest neighbours (Å) after each atom.
Space group I2_13 (No. 199)
One atom of each set of equivalent atoms:
Pm 0.0629 0.0629 0.0629 (multiplicity 8)  3 Pt 2.86
Dy 0.1887 0.3113 0.6887 (multiplicity 8)  6 Pt 2.88-3.22
Pt 0.0000 0.2500 0.3831 (multiplicity 12)  2 Pm 2.86, 2 Dy 2.88

Properties
Relative energy among the computed polymorphs   0 meV/atom
Crystal system   cubic
E_form   -1.05 eV/atom

A plane-wave DFT calculation with GGA-PBE was carried out for Pm3DyPt3 after structural relaxation.

a b c (Å): 9.3828 10.6693 7.2403
angles (deg): 90.00 91.04 90.00
With the nearest neighbours (Å) after each atom.
Space group C2/m (No. 12)
One atom of each set of equivalent atoms:
Pm 0.0000 0.1759 0.0000 (multiplicity 4)  6 Pt 2.89-2.98
Pm 0.0000 0.2506 0.5000 (multiplicity 4)  6 Pt 3.07-3.17
Pm 0.1649 0.5000 0.8787 (multiplicity 4)  3 Pt 2.93-3.06
Dy 0.2476 0.5000 0.3811 (multiplicity 4)  4 Pt 2.76-2.99
Pt 0.0607 0.0000 0.3093 (multiplicity 4)  2 Dy 2.85-2.99, 5 Pm 2.93-3.07, 1 Pt 3.01
Pt 0.2401 0.2669 0.2154 (multiplicity 8)  1 Dy 2.76, 4 Pm 2.89-3.09

Properties
Crystal system   monoclinic
E_form   -0.95 eV/atom

A plane-wave DFT calculation with GGA-PBE was carried out for PmDyPt2 after structural relaxation.

a b c (Å): 4.5104 3.8339 10.6914
angles (deg): 90.00 90.00 90.00
With the nearest neighbours (Å) after each atom.
Space group Amm2 (No. 38)
One atom of each set of equivalent atoms:
Pm 0.0000 0.0000 0.0000 (multiplicity 2)  7 Pt 2.92-3.09
Dy 0.5000 0.0000 0.2751 (multiplicity 2)  7 Pt 2.95-3.07
Pt 0.0000 0.0000 0.7271 (multiplicity 2)  3 Pm 2.92-3.09, 2 Pt 2.94, 4 Dy 3.00
Pt 0.5000 0.0000 0.5514 (multiplicity 2)  2 Pt 2.94, 3 Dy 2.95-3.07, 4 Pm 3.01

Properties
Relative energy among the computed polymorphs   0 meV/atom
Crystal system   orthorhombic
E_form   -1.23 eV/atom

A plane-wave DFT calculation with GGA-PBE was carried out for PmDyPt2 after structural relaxation.

a b c (Å): 4.0813 4.0813 20.8177
angles (deg): 90.00 90.00 120.00
With the nearest neighbours (Å) after each atom.
Space group R3m (No. 160, hexagonal axes)
One atom of each set of equivalent atoms:
Pm 0.0000 0.0000 0.0000 (multiplicity 3)  6 Pt 2.94-3.03
Dy 0.0000 0.0000 0.1726 (multiplicity 3)  6 Pt 2.84-2.90
Pt 0.0000 0.0000 0.4248 (multiplicity 3)  3 Dy 2.90, 3 Pm 3.03
Pt 0.0000 0.0000 0.5821 (multiplicity 3)  3 Dy 2.84, 3 Pm 2.94

Properties
Relative energy among the computed polymorphs   156 meV/atom
Crystal system   trigonal
E_form   -1.07 eV/atom

A plane-wave DFT calculation with GGA-PBE was carried out for PmDyPt4 after structural relaxation.

a b c (Å): 7.7315 7.7315 7.7315
angles (deg): 90.00 90.00 90.00
With the nearest neighbours (Å) after each atom.
Space group F-43m (No. 216)
One atom of each set of equivalent atoms:
Pm 0.0000 0.0000 0.0000 (multiplicity 4)  12 Pt 3.21, 4 Dy 3.35
Dy 0.2500 0.2500 0.7500 (multiplicity 4)  12 Pt 3.20, 4 Pm 3.35
Pt 0.1247 0.1247 0.3753 (multiplicity 16)  6 Pt 2.73-2.74

Properties
Crystal system   cubic
E_form   -1.10 eV/atom

A plane-wave DFT calculation with GGA-PBE was carried out for Pm2DyPt after structural relaxation.

a b c (Å): 3.9730 3.9730 27.6710
angles (deg): 90.00 90.00 120.00
With the nearest neighbours (Å) after each atom.
Space group R3m (No. 160, hexagonal axes)
One atom of each set of equivalent atoms:
Pm 0.0000 0.0000 0.0000 (multiplicity 3)  3 Pt 2.88
Pm 0.0000 0.0000 0.2082 (multiplicity 3)  3 Pt 2.87
Dy 0.0000 0.0000 0.4384 (multiplicity 3)  6 Pm 3.66-3.70, 6 Dy 3.97
Pt 0.0000 0.0000 0.6036 (multiplicity 3)  6 Pm 2.87-2.88

Properties
Relative energy among the computed polymorphs   217 meV/atom
Crystal system   trigonal
E_form   -0.44 eV/atom

A plane-wave DFT calculation with GGA-PBE was carried out for PmDyPt2 after structural relaxation.

a b c (Å): 3.5348 3.5348 7.1027
angles (deg): 90.00 90.00 90.00
With the nearest neighbours (Å) after each atom.
Space group P4/mmm (No. 123)
One atom of each set of equivalent atoms:
Pm 0.0000 0.0000 0.0000 (multiplicity 1)  8 Pt 3.12
Dy 0.0000 0.0000 0.5000 (multiplicity 1)  8 Pt 3.01
Pt 0.5000 0.5000 0.2639 (multiplicity 2)  4 Dy 3.01, 4 Pm 3.12, 1 Pt 3.35

Properties
Relative energy among the computed polymorphs   81 meV/atom
Crystal system   tetragonal
E_form   -1.15 eV/atom

A plane-wave DFT calculation with GGA-PBE was carried out for Pm2DyPt after structural relaxation.

a b c (Å): 7.1359 9.9441 6.5583
angles (deg): 90.00 90.00 90.00
With the nearest neighbours (Å) after each atom.
Space group Pnma (No. 62)
One atom of each set of equivalent atoms:
Pm 0.1816 0.0612 0.1763 (multiplicity 8)  2 Pt 2.95-2.98
Dy 0.0303 0.2500 0.6417 (multiplicity 4)  2 Pt 2.83-2.87
Pt 0.1149 0.7500 0.9502 (multiplicity 4)  2 Dy 2.83-2.87, 4 Pm 2.95-2.98

Properties
Relative energy among the computed polymorphs   0 meV/atom
Crystal system   orthorhombic
E_form   -0.66 eV/atom

A plane-wave DFT calculation with GGA-PBE was carried out for Pm3Dy2Pt2 after structural relaxation.

a b c (Å): 12.4627 3.8282 9.1365
angles (deg): 90.00 115.21 90.00
With the nearest neighbours (Å) after each atom.
Space group C2/m (No. 12)
One atom of each set of equivalent atoms:
Pm 0.0000 0.0000 0.0000 (multiplicity 2)  4 Pt 3.02
Pm 0.1135 0.0000 0.4335 (multiplicity 4)  3 Pt 2.97-3.04
Dy 0.1673 0.5000 0.8147 (multiplicity 4)  2 Pt 2.89
Pt 0.1779 0.5000 0.2348 (multiplicity 4)  2 Dy 2.89, 5 Pm 2.97-3.04

Properties
Crystal system   monoclinic
E_form   -0.72 eV/atom

A plane-wave DFT calculation with GGA-PBE was carried out for Pm2Dy3Pt4 after structural relaxation.

a b c (Å): 7.6363 7.6733 7.8025
angles (deg): 90.00 109.26 90.00
With the nearest neighbours (Å) after each atom.
Space group P2_1/c (No. 14)
One atom of each set of equivalent atoms:
Pm 0.1971 0.1781 0.0823 (multiplicity 4)  6 Pt 3.00-3.29
Dy 0.2440 0.6647 0.2484 (multiplicity 4)  6 Pt 2.84-3.02
Dy 0.5000 0.0000 0.5000 (multiplicity 2)  6 Pt 2.96-3.08
Pt 0.0908 0.5365 0.8617 (multiplicity 4)  4 Dy 2.84-3.02, 1 Pt 2.98, 1 Pm 3.05
Pt 0.4961 0.1340 0.8713 (multiplicity 4)  1 Pt 2.86, 5 Dy 2.90-3.08, 1 Pm 3.00

Properties
Relative energy among the computed polymorphs   0 meV/atom
Crystal system   monoclinic
E_form   -1.15 eV/atom

A plane-wave DFT calculation with GGA-PBE was carried out for PmDyPt3 after structural relaxation.

a b c (Å): 3.8587 27.0531 4.2646
angles (deg): 90.00 90.00 90.00
With the nearest neighbours (Å) after each atom.
Space group Cmcm (No. 63)
One atom of each set of equivalent atoms:
Pm 0.0000 0.0739 0.2500 (multiplicity 4)  10 Pt 3.13-3.37
Dy 0.0000 0.2068 0.7500 (multiplicity 4)  7 Pt 2.89-2.95
Pt 0.0000 0.3135 0.7500 (multiplicity 4)  2 Pt 2.72, 5 Dy 2.89-2.93
Pt 0.0000 0.3758 0.2500 (multiplicity 4)  3 Pt 2.60-2.72
Pt 0.0000 0.4720 0.2500 (multiplicity 4)  3 Pt 2.60-2.62

Properties
Crystal system   orthorhombic
E_form   -1.11 eV/atom

A plane-wave DFT calculation with GGA-PBE was carried out for Pm2Dy2Pt3 after structural relaxation.

a b c (Å): 4.1917 6.9358 7.2964
angles (deg): 99.45 90.04 107.57
With the nearest neighbours (Å) after each atom.
Space group P-1 (No. 2)
One atom of each set of equivalent atoms:
Pm 0.1356 0.2700 0.3582 (multiplicity 2)  4 Pt 2.88-2.90
Dy 0.3700 0.7396 0.0922 (multiplicity 2)  5 Pt 2.83-2.89
Pt 0.0000 0.0000 0.0000 (multiplicity 1)  4 Dy 2.87, 2 Pm 2.90
Pt 0.2357 0.4719 0.7440 (multiplicity 2)  3 Dy 2.83-2.89, 3 Pm 2.88-2.90

Properties
Relative energy among the computed polymorphs   61 meV/atom
Crystal system   triclinic
E_form   -0.99 eV/atom

A plane-wave DFT calculation with GGA-PBE was carried out for PmDy2Pt after structural relaxation.

a b c (Å): 7.1306 9.6384 6.5567
angles (deg): 90.00 90.00 90.00
With the nearest neighbours (Å) after each atom.
Space group Pnma (No. 62)
One atom of each set of equivalent atoms:
Pm 0.0234 0.2500 0.1333 (multiplicity 4)  2 Pt 2.89-3.00
Dy 0.1778 0.0620 0.6740 (multiplicity 8)  2 Pt 2.85-2.90
Pt 0.1145 0.7500 0.4343 (multiplicity 4)  4 Dy 2.85-2.90, 2 Pm 2.89-3.00

Properties
Relative energy among the computed polymorphs   0 meV/atom
Crystal system   orthorhombic
E_form   -0.69 eV/atom

A plane-wave DFT calculation with GGA-PBE was carried out for PmDy3Pt after structural relaxation.

a b c (Å): 6.5138 5.1027 8.7271
angles (deg): 90.00 96.54 90.00
With the nearest neighbours (Å) after each atom.
Space group P2_1/m (No. 11)
One atom of each set of equivalent atoms:
Pm 0.1050 0.2500 0.2868 (multiplicity 2)  1 Pt 2.92
Dy 0.2329 0.2500 0.7451 (multiplicity 2)  2 Pt 2.99
Dy 0.2857 0.7500 0.0567 (multiplicity 2)  1 Pt 2.73
Dy 0.3280 0.7500 0.4807 (multiplicity 2)  1 Pt 2.76
Pt 0.4707 0.7500 0.7906 (multiplicity 2)  4 Dy 2.73-2.99, 1 Pm 2.92

Properties
Crystal system   monoclinic
E_form   -0.47 eV/atom

A plane-wave DFT calculation with GGA-PBE was carried out for PmDy3Pt2 after structural relaxation.

a b c (Å): 15.5842 4.8802 8.4178
angles (deg): 90.00 98.65 90.00
With the nearest neighbours (Å) after each atom.
Space group C2/m (No. 12)
One atom of each set of equivalent atoms:
Pm 0.1753 0.0000 0.3268 (multiplicity 4)  5 Pt 3.06-3.19, 1 Dy 3.42
Dy 0.0477 0.0000 0.8369 (multiplicity 4)  3 Pt 2.80-2.86
Dy 0.1034 0.5000 0.5837 (multiplicity 4)  4 Pt 2.89-2.93
Dy 0.1748 0.5000 0.0211 (multiplicity 4)  2 Pt 2.87-2.95
Pt 0.0445 0.5000 0.2411 (multiplicity 4)  5 Dy 2.86-2.95, 2 Pm 3.19
Pt 0.1986 0.0000 0.6938 (multiplicity 4)  4 Dy 2.80-2.93, 1 Pm 3.06

Properties
Relative energy among the computed polymorphs   118 meV/atom
Crystal system   monoclinic
E_form   -0.81 eV/atom

A plane-wave DFT calculation with GGA-PBE was carried out for PmDyPt6 after structural relaxation.

a b c (Å): 4.1506 4.1506 8.2992
angles (deg): 90.00 90.00 90.00
With the nearest neighbours (Å) after each atom.
Space group P4/mmm (No. 123)
One atom of each set of equivalent atoms:
Pm 0.0000 0.0000 0.0000 (multiplicity 1)  12 Pt 2.93-2.96
Dy 0.0000 0.0000 0.5000 (multiplicity 1)  12 Pt 2.91-2.93
Pt 0.0000 0.5000 0.2549 (multiplicity 4)  2 Dy 2.91, 8 Pt 2.91-2.96, 2 Pm 2.96
Pt 0.5000 0.5000 0.0000 (multiplicity 1)  4 Pm 2.93, 8 Pt 2.96
Pt 0.5000 0.5000 0.5000 (multiplicity 1)  8 Pt 2.91, 4 Dy 2.93

Properties
Relative energy among the computed polymorphs   0 meV/atom
Crystal system   tetragonal
E_form   -0.97 eV/atom

Total magnetic moment (μB per atom)
0.000 0.000 0.000 0.000 0.000 0.000 0.000 0.000 0.000 0.000 0.000 0.000 0.001 0.000 0.000 0.000 0.000 0.000 0.000 0.000 0.000 0.000 0.000